Record 1
DFT (PBE) results for a geometry-optimized HgF2 structure.

Structure (CIF):
```
data_HgF2
_chemical_formula_sum 'Hg4 F8'
_symmetry_space_group_name_H-M 'P 1'
_symmetry_Int_Tables_number 1
_symmetry_space_group_name_Hall 'P 1'
_cell_length_a 3.8523
_cell_length_b 5.4031
_cell_length_c 7.2754
_cell_angle_alpha 90.00
_cell_angle_beta 90.00
_cell_angle_gamma 90.00
loop_
_atom_site_label
_atom_site_fract_x
_atom_site_fract_y
_atom_site_fract_z
F1 0.4981 0.7390 0.3219
F2 0.9981 0.7610 0.6781
F3 0.0019 0.2610 0.8219
F4 0.5019 0.2390 0.1781
F5 0.0012 0.9065 0.0813
F6 0.9988 0.4065 0.4187
F7 0.4988 0.0935 0.5813
F8 0.5012 0.5935 0.9187
Hg1 0.5020 0.0172 0.8981
Hg2 0.4980 0.5172 0.6019
Hg3 0.9980 0.9828 0.3981
Hg4 0.0020 0.4828 0.1019
```

V (Å³ per cell): 151.43
E (eV per formula unit): -8.0
Energy relative to the lowest polymorph listed for this composition (meV/atom): 70

Record 2
DFT (PBE) results for a geometry-optimized HgF2 structure.

Structure (CIF):
```
data_HgF2
_chemical_formula_sum 'Hg3 F6'
_symmetry_space_group_name_H-M 'P 1'
_symmetry_Int_Tables_number 1
_symmetry_space_group_name_Hall 'P 1'
_cell_length_a 4.0927
_cell_length_b 4.0927
_cell_length_c 8.7713
_cell_angle_alpha 90.00
_cell_angle_beta 90.00
_cell_angle_gamma 120.00
loop_
_atom_site_label
_atom_site_fract_x
_atom_site_fract_y
_atom_site_fract_z
Hg1 0.0000 0.6642 0.3333
Hg2 0.3358 0.3358 0.0000
Hg3 0.6642 0.0000 0.6667
F1 0.3317 0.3339 0.7428
F2 0.6683 0.0022 0.9238
F3 0.6661 0.9978 0.4095
F4 0.9978 0.6661 0.5905
F5 0.3339 0.3317 0.2572
F6 0.0022 0.6683 0.0762
```

V (Å³ per cell): 127.24
E (eV per formula unit): -8.2
Energy relative to the lowest polymorph listed for this composition (meV/atom): 4

Record 3
DFT (PBE) results for a geometry-optimized HgF structure.

Structure (CIF):
```
data_HgF
_chemical_formula_sum 'Hg2 F2'
_symmetry_space_group_name_H-M 'P 1'
_symmetry_Int_Tables_number 1
_symmetry_space_group_name_Hall 'P 1'
_cell_length_a 6.0964
_cell_length_b 6.0964
_cell_length_c 6.0964
_cell_angle_alpha 145.79
_cell_angle_beta 145.79
_cell_angle_gamma 49.15
loop_
_atom_site_label
_atom_site_fract_x
_atom_site_fract_y
_atom_site_fract_z
Hg1 0.1152 0.1152 0.0000
Hg2 0.8848 0.8848 0.0000
F1 0.3140 0.3140 0.0000
F2 0.6860 0.6860 0.0000
```

V (Å³ per cell): 71.28
E (eV per formula unit): -4.5
Energy relative to the lowest polymorph listed for this composition (meV/atom): 0

Record 4
DFT (PBE) results for a geometry-optimized HgF2 structure.

Structure (CIF):
```
data_HgF2
_chemical_formula_sum 'Hg4 F8'
_symmetry_space_group_name_H-M 'P 1'
_symmetry_Int_Tables_number 1
_symmetry_space_group_name_Hall 'P 1'
_cell_length_a 5.3192
_cell_length_b 5.6855
_cell_length_c 5.7426
_cell_angle_alpha 90.00
_cell_angle_beta 90.00
_cell_angle_gamma 90.00
loop_
_atom_site_label
_atom_site_fract_x
_atom_site_fract_y
_atom_site_fract_z
F1 0.1583 0.1707 0.6693
F2 0.6583 0.1707 0.8307
F3 0.6583 0.3293 0.3307
F4 0.8417 0.6707 0.8307
F5 0.8417 0.8293 0.3307
F6 0.3417 0.6707 0.6693
F7 0.3417 0.8293 0.1693
F8 0.1583 0.3293 0.1693
Hg1 0.0000 0.5000 0.5000
Hg2 0.5000 0.5000 0.0000
Hg3 0.0000 0.0000 0.0000
Hg4 0.5000 0.0000 0.5000
```

V (Å³ per cell): 173.67
E (eV per formula unit): -8.1
Energy relative to the lowest polymorph listed for this composition (meV/atom): 32

Record 5
DFT (PBE) results for a geometry-optimized HgF structure.

Structure (CIF):
```
data_HgF
_chemical_formula_sum 'Hg1 F1'
_symmetry_space_group_name_H-M 'P 1'
_symmetry_Int_Tables_number 1
_symmetry_space_group_name_Hall 'P 1'
_cell_length_a 3.6687
_cell_length_b 3.6687
_cell_length_c 3.6687
_cell_angle_alpha 60.00
_cell_angle_beta 60.00
_cell_angle_gamma 60.00
loop_
_atom_site_label
_atom_site_fract_x
_atom_site_fract_y
_atom_site_fract_z
Hg1 0.5000 0.5000 0.5000
F1 0.0000 0.0000 0.0000
```

V (Å³ per cell): 34.91
E (eV per formula unit): -3.8
Energy relative to the lowest polymorph listed for this composition (meV/atom): 357

Record 6
DFT (PBE) results for a geometry-optimized HgF2 structure.

Structure (CIF):
```
data_HgF2
_chemical_formula_sum 'Hg3 F6'
_symmetry_space_group_name_H-M 'P 1'
_symmetry_Int_Tables_number 1
_symmetry_space_group_name_Hall 'P 1'
_cell_length_a 6.0743
_cell_length_b 6.0743
_cell_length_c 3.6357
_cell_angle_alpha 90.00
_cell_angle_beta 90.00
_cell_angle_gamma 120.00
loop_
_atom_site_label
_atom_site_fract_x
_atom_site_fract_y
_atom_site_fract_z
F1 0.9486 0.3644 0.2270
F2 0.4158 0.0514 0.2270
F3 0.0379 0.7493 0.7328
F4 0.7115 0.9621 0.7328
F5 0.2507 0.2885 0.7328
F6 0.6356 0.5842 0.2270
Hg1 0.6667 0.3333 0.7317
Hg2 0.3333 0.6667 0.4608
Hg3 0.0000 0.0000 0.2270
```

V (Å³ per cell): 116.17
E (eV per formula unit): -8.1
Energy relative to the lowest polymorph listed for this composition (meV/atom): 41

Record 7
DFT (PBE) results for a geometry-optimized HgF2 structure.

Structure (CIF):
```
data_HgF2
_chemical_formula_sum 'Hg4 F8'
_symmetry_space_group_name_H-M 'P 1'
_symmetry_Int_Tables_number 1
_symmetry_space_group_name_Hall 'P 1'
_cell_length_a 5.4875
_cell_length_b 3.7173
_cell_length_c 7.1520
_cell_angle_alpha 90.00
_cell_angle_beta 90.00
_cell_angle_gamma 90.00
loop_
_atom_site_label
_atom_site_fract_x
_atom_site_fract_y
_atom_site_fract_z
F1 0.6571 0.2500 0.9291
F2 0.1571 0.2500 0.5709
F3 0.0226 0.2500 0.1834
F4 0.5226 0.2500 0.3166
F5 0.9774 0.7500 0.8166
F6 0.3429 0.7500 0.0709
F7 0.4774 0.7500 0.6834
F8 0.8429 0.7500 0.4291
Hg1 0.7652 0.7500 0.1112
Hg2 0.2348 0.2500 0.8888
Hg3 0.2652 0.7500 0.3888
Hg4 0.7348 0.2500 0.6112
```

V (Å³ per cell): 145.89
E (eV per formula unit): -8.0
Energy relative to the lowest polymorph listed for this composition (meV/atom): 89

Record 8
DFT (PBE) results for a geometry-optimized HgF2 structure.

Structure (CIF):
```
data_HgF2
_chemical_formula_sum 'Hg2 F4'
_symmetry_space_group_name_H-M 'P 1'
_symmetry_Int_Tables_number 1
_symmetry_space_group_name_Hall 'P 1'
_cell_length_a 4.6828
_cell_length_b 4.6828
_cell_length_c 4.6828
_cell_angle_alpha 60.00
_cell_angle_beta 60.00
_cell_angle_gamma 60.00
loop_
_atom_site_label
_atom_site_fract_x
_atom_site_fract_y
_atom_site_fract_z
F1 0.6250 0.6250 0.6250
F2 0.6250 0.6250 0.1250
F3 0.1250 0.6250 0.6250
F4 0.6250 0.1250 0.6250
Hg1 0.0000 0.0000 0.0000
Hg2 0.2500 0.2500 0.2500
```

V (Å³ per cell): 72.61
E (eV per formula unit): -5.2
Energy relative to the lowest polymorph listed for this composition (meV/atom): 1006

Repeat the third record exactly.
DFT (PBE) results for a geometry-optimized HgF structure.

Structure (CIF):
```
data_HgF
_chemical_formula_sum 'Hg2 F2'
_symmetry_space_group_name_H-M 'P 1'
_symmetry_Int_Tables_number 1
_symmetry_space_group_name_Hall 'P 1'
_cell_length_a 6.0964
_cell_length_b 6.0964
_cell_length_c 6.0964
_cell_angle_alpha 145.79
_cell_angle_beta 145.79
_cell_angle_gamma 49.15
loop_
_atom_site_label
_atom_site_fract_x
_atom_site_fract_y
_atom_site_fract_z
Hg1 0.1152 0.1152 0.0000
Hg2 0.8848 0.8848 0.0000
F1 0.3140 0.3140 0.0000
F2 0.6860 0.6860 0.0000
```

V (Å³ per cell): 71.28
E (eV per formula unit): -4.5
Energy relative to the lowest polymorph listed for this composition (meV/atom): 0

- Which of these has the lowest V?
  number 5